Entry 1:
This record from Alexandria via LeMat-Bulk describes an optimized crystal structure of Dy2Si3Pd2. The functional is PBE.

POSCAR file:
```
Dy2Si3Pd2
1.0
-3.4973 -0.5204 2.1761
3.6933 -0.5150 5.8123
1.1592 9.0413 0.0645
Dy Si Pd
4 6 4
Cartesian
0.7416 2.5785 1.8084
0.6136 5.4273 6.2445
-1.3505 7.4350 3.5681
2.7057 0.5709 4.4849
2.5054 3.5553 4.8766
-1.1502 4.4506 3.1764
-0.2416 0.5674 3.7079
1.5968 7.4385 4.3450
2.9049 7.2561 6.4036
-1.5497 0.7498 1.6494
1.5404 2.6134 7.0611
-0.1852 5.3924 0.9918
1.3046 5.1847 3.3364
0.0506 2.8212 4.7165
```

Formation energy without anion corrections   -0.917 eV per atom
Calculated total energy   -6.040 eV/atom
Polymorph energy (0 for the lowest one)   0 meV per atom
Total moment   0.00 μB/cell

Entry 2:
This record from Alexandria via LeMat-Bulk describes an optimized crystal structure of AcHoZn2Au5. The functional is PBE.

POSCAR file:
```
AcHoZn2Au5
1.0
4.7013 0.0000 0.0000
0.0000 4.7013 0.0000
0.0000 0.0000 8.9302
Ac Ho Zn Au
1 1 2 5
Cartesian
0.0000 0.0000 4.4651
0.0000 0.0000 0.0000
2.3507 2.3507 1.2044
2.3507 2.3507 7.7258
0.0000 2.3507 2.2051
2.3507 0.0000 2.2051
0.0000 2.3507 6.7251
2.3507 0.0000 6.7251
2.3507 2.3507 4.4651
```

Calculated total energy   -3.556 eV/atom
Formation enthalpy at 0 K   -0.49 eV per atom
Total moment   0.00 μB/cell

Entry 3:
This record from Alexandria via LeMat-Bulk describes an optimized crystal structure of ScPtPb. The functional is PBE.

POSCAR file:
```
ScPtPb
1.0
-5.1198 -2.0728 -2.7984
-2.8898 -4.6399 -2.9092
-1.7725 -1.6445 2.3935
Pb Pt Sc
1 1 1
Cartesian
-7.9550 -6.6684 -5.6368
-3.7131 -3.2215 -0.1271
-6.1236 -5.1802 -3.2579
```

Calculated total energy   -5.973 eV/atom
Formation enthalpy at 0 K   -0.61 eV per atom
Total moment   0.00 μB/cell

Entry 4:
This record from Alexandria via LeMat-Bulk describes an optimized crystal structure of Ag2PtAu. The functional is PBE.

POSCAR file:
```
Ag2PtAu
1.0
-2.1803 1.7870 -0.1040
-0.4613 -2.6824 -0.7417
-2.2424 -2.1932 9.3267
Au Ag Pt
1 2 1
Cartesian
-1.1258 -1.1011 4.6825
-2.2367 -2.1876 9.3028
-1.8772 -0.9919 1.8914
-3.0080 -2.0978 6.5943
```

Calculated total energy   -3.724 eV/atom
Formation enthalpy at 0 K   0.03 eV per atom
Polymorph energy (0 for the lowest one)   51 meV per atom
Total moment   0.00 μB/cell

Entry 5:
This record from Alexandria via LeMat-Bulk describes an optimized crystal structure of AgSe6Br12. The functional is PBE.

POSCAR file:
```
AgSe6Br12
1.0
8.2556 3.1956 1.5904
1.5057 8.7522 0.0385
3.2769 2.9939 11.8000
Ag Se Br
1 6 12
Cartesian
0.0000 0.0000 0.0000
5.7641 7.1129 9.2497
7.6189 5.7610 8.5604
5.4085 9.3174 7.2472
7.2742 7.8287 4.1791
5.4194 9.1806 4.8684
7.6298 5.6242 6.1816
4.8876 4.8908 5.8345
1.7405 3.0416 4.3441
5.8065 6.0140 11.3703
8.1507 10.0508 7.5943
11.2978 11.9000 9.0847
7.2318 8.9277 2.0585
3.5169 4.4260 7.8898
5.6977 9.6693 10.3648
10.1411 7.1483 11.4734
9.5215 10.5156 5.5390
7.3406 5.2723 3.0640
2.8972 7.7933 1.9554
```

Formation energy without anion corrections   -0.035 eV per atom
Calculated total energy   -2.342 eV/atom
Total moment   0.00 μB/cell

Entry 6:
This record from Alexandria via LeMat-Bulk describes an optimized crystal structure of SrAg2HgBr6. The functional is PBE.

POSCAR file:
```
SrAg2HgBr6
1.0
-6.9268 1.1777 2.1558
-3.5301 -5.0598 3.9818
-1.2661 1.5822 7.6653
Sr Ag Hg Br
1 2 1 6
Cartesian
-9.2409 -2.3089 9.2122
-5.9536 -1.2718 6.6618
-1.3392 1.4831 7.4861
-3.3833 -1.1580 2.3054
-5.3133 -0.1418 4.1133
-5.2277 -3.9637 6.0270
-8.7635 -1.5609 6.2143
-6.2298 -2.0215 9.5372
-6.4350 1.4190 7.8688
-3.2097 -0.6371 7.6276
```

Formation energy without anion corrections   -0.855 eV per atom
Calculated total energy   -2.627 eV/atom
Total moment   0.00 μB/cell